LiNd2Hg8: relaxed, PBE.

abc: 16.572 5.104 7.074
angles: 90.00 114.84 90.00
Space group C2/m (No. 12)
Inequivalent atoms, fractional coordinates:
1 Li 0.000 0.000 0.000 [2 per cell]
2 Nd 0.200 0.500 0.698 [4 per cell]
3 Hg 0.001 0.500 0.723 [4 per cell]
4 Hg 0.126 0.000 0.405 [4 per cell]
5 Hg 0.129 0.000 0.852 [4 per cell]
6 Hg 0.164 0.500 0.164 [4 per cell]

Calculated values
Electronic total energy in eV per atom: -1.58
D(E_F) in states/eV per atom: 0.500

LiNdHg5: relaxed, PBE.

abc: 4.664 4.664 7.898
angles: 90.00 90.00 90.00
Space group P4/mmm (No. 123)
Inequivalent atoms, fractional coordinates:
1 Li 0.000 0.000 0.000 [1 per cell]
2 Nd 0.000 0.000 0.500 [1 per cell]
3 Hg 0.000 0.500 0.200 [4 per cell]
4 Hg 0.500 0.500 0.500 [1 per cell]

Calculated values
Electronic total energy in eV per atom: -1.47
D(E_F) in states/eV per atom: 0.686

Record-wise total moment values, in μB per formula unit: 0.0, 0.0